1.
This record from the Alexandria database describes crystalline LiCe2PmSe4 at its relaxed geometry. The functional is PBE-GGA.

POSCAR file:
```
LiCe2PmSe4
1.0
7.219 0.000 0.000
0.000 4.172 0.000
-2.420 0.000 6.809
Li Ce Pm Se
1 2 1 4
Cartesian
0.000 0.000 0.000 Li
-1.210 2.086 3.405 Ce
2.399 0.000 3.405 Ce
3.609 2.086 0.000 Pm
1.155 2.086 1.629 Se
-0.071 0.000 5.157 Se
4.870 0.000 1.652 Se
3.644 2.086 5.180 Se
```

Values from the calculation:
* space group: P2/m (10)
* density: 6.06 Mg/m³
* magnetization: 0.29 μB/atom
* final energy: -5.78 eV per atom

***

2.
This record from the Alexandria database describes crystalline TaTl2Se at its relaxed geometry. The functional is PBE-GGA.

POSCAR file:
```
TaTl2Se
1.0
3.235 0.000 0.000
0.000 3.235 0.000
0.000 0.000 9.406
Ta Tl Se
1 2 1
Cartesian
0.000 0.000 0.000 Ta
0.000 0.000 4.929 Tl
1.617 1.617 2.234 Tl
1.617 1.617 8.044 Se
```

Values from the calculation:
* space group: P4mm (99)
* density: 11.28 Mg/m³
* magnetization: 0.00 μB/atom
* energy above the lowest structure with this stoichiometry: 0 meV/atom
* final energy: -5.08 eV per atom

***

3.
This record from the Alexandria database describes crystalline Na3Ca2 at its relaxed geometry. The functional is PBE-GGA.

POSCAR file:
```
Na3Ca2
1.0
6.882 0.000 0.000
-3.441 5.960 0.000
0.000 0.000 15.328
Na Ca
9 6
Cartesian
-1.721 2.980 0.000 Na
0.000 1.987 5.109 Na
-1.721 4.967 5.109 Na
1.721 0.993 10.219 Na
3.441 0.000 0.000 Na
1.721 2.980 0.000 Na
1.721 4.967 5.109 Na
5.162 0.993 10.219 Na
3.441 3.974 10.219 Na
0.000 0.000 1.907 Ca
0.000 0.000 13.421 Ca
0.000 3.974 8.312 Ca
0.000 3.974 12.126 Ca
3.441 1.987 3.202 Ca
3.441 1.987 7.016 Ca
```

Values from the calculation:
* space group: R-3m (166)
* energy of formation from the pure elements: 142 meV per atom
* density: 1.18 Mg/m³
* magnetization: 0.00 μB/atom
* energy above the lowest structure with this stoichiometry: 110 meV/atom
* final energy: -1.45 eV per atom

***

4.
This record from the Alexandria database describes crystalline Zn2Ni6AsH at its relaxed geometry. The functional is PBE-GGA.

POSCAR file:
```
Zn2Ni6AsH
1.0
4.159 0.000 0.000
0.000 4.159 0.000
0.000 0.000 7.407
Zn Ni As H
2 6 1 1
Cartesian
0.000 0.000 1.686 Zn
0.000 0.000 5.720 Zn
0.000 2.079 0.000 Ni
0.000 2.079 3.703 Ni
2.079 0.000 0.000 Ni
2.079 0.000 3.703 Ni
2.079 2.079 1.526 Ni
2.079 2.079 5.881 Ni
2.079 2.079 3.703 As
2.079 2.079 0.000 H
```

Values from the calculation:
* space group: P4/mmm (123)
* density: 7.25 Mg/m³
* magnetization: 0.00 μB/atom
* final energy: -4.33 eV per atom

***

5.
This record from the Alexandria database describes crystalline SrSb2Os at its relaxed geometry. The functional is PBE-GGA.

POSCAR file:
```
SrSb2Os
1.0
8.180 0.000 0.000
0.000 8.180 0.000
0.000 0.000 6.756
Sr Sb Os
4 8 4
Cartesian
0.000 0.000 0.000 Sr
0.000 4.090 1.689 Sr
4.090 0.000 5.067 Sr
4.090 4.090 3.378 Sr
1.364 6.135 4.222 Sb
2.045 1.364 2.533 Sb
2.045 2.726 5.911 Sb
2.726 6.135 0.844 Sb
5.455 2.045 0.844 Sb
6.135 5.455 5.911 Sb
6.135 6.816 2.533 Sb
6.816 2.045 4.222 Sb
0.000 0.000 3.378 Os
0.000 4.090 5.067 Os
4.090 0.000 1.689 Os
4.090 4.090 0.000 Os
```

Values from the calculation:
* space group: I-42d (122)
* density: 7.66 Mg/m³
* magnetization: 0.00 μB/atom
* energy above the lowest structure with this stoichiometry: 201 meV/atom
* final energy: -5.33 eV per atom

***

6.
This record from the Alexandria database describes crystalline CoIrRu at its relaxed geometry. The functional is PBE-GGA.

POSCAR file:
```
CoIrRu
1.0
2.679 0.000 0.000
-1.339 2.320 0.000
0.000 0.000 6.415
Co Ir Ru
1 1 1
Cartesian
0.000 0.000 0.000 Co
1.339 0.773 2.120 Ir
0.000 1.547 4.359 Ru
```

Values from the calculation:
* space group: P3m1 (156)
* energy of formation from the pure elements: 88 meV per atom
* density: 14.67 Mg/m³
* magnetization: 0.46 μB/atom
* energy above the lowest structure with this stoichiometry: 62 meV/atom
* final energy: -8.33 eV per atom

***

7.
This record from the Alexandria database describes crystalline MoOs2Pd at its relaxed geometry. The functional is PBE-GGA.

POSCAR file:
```
MoOs2Pd
1.0
5.906 0.000 0.000
0.000 5.906 0.000
0.000 0.000 10.112
Mo Os Pd
4 8 4
Cartesian
0.000 0.000 0.000 Mo
0.000 2.953 2.528 Mo
2.953 0.000 7.584 Mo
2.953 2.953 5.056 Mo
1.456 1.477 1.264 Os
1.477 4.409 3.792 Os
1.477 4.450 8.848 Os
1.497 1.477 6.320 Os
4.409 4.430 6.320 Os
4.430 1.456 8.848 Os
4.430 1.497 3.792 Os
4.450 4.430 1.264 Os
0.000 0.000 5.056 Pd
0.000 2.953 7.584 Pd
2.953 0.000 2.528 Pd
2.953 2.953 0.000 Pd
```

Values from the calculation:
* space group: I-42d (122)
* energy of formation from the pure elements: 1511 meV per atom
* density: 10.97 Mg/m³
* magnetization: 0.00 μB/atom
* energy above the lowest structure with this stoichiometry: 1406 meV/atom
* final energy: -8.11 eV per atom

***

8.
This record from the Alexandria database describes crystalline Be2InOs at its relaxed geometry. The functional is PBE-GGA.

POSCAR file:
```
Be2InOs
1.0
3.027 0.000 0.000
0.000 3.639 0.000
-1.512 0.000 4.678
Be In Os
2 1 1
Cartesian
0.000 0.000 0.000 Be
-0.006 1.819 1.153 Be
1.505 0.000 2.246 In
0.000 1.819 4.033 Os
```

Values from the calculation:
* space group: Pm (6)
* energy of formation from the pure elements: 242 meV per atom
* density: 10.41 Mg/m³
* magnetization: 0.00 μB/atom
* final energy: -5.11 eV per atom

***

9.
This record from the Alexandria database describes crystalline Tb2TlBr at its relaxed geometry. The functional is PBE-GGA.

POSCAR file:
```
Tb2TlBr
1.0
4.428 0.000 0.000
-2.214 3.835 0.000
0.000 0.000 20.524
Tb Tl Br
6 3 3
Cartesian
0.000 0.000 5.046 Tb
0.000 0.000 15.478 Tb
0.000 2.557 8.636 Tb
0.000 2.557 18.729 Tb
2.214 1.278 1.795 Tb
2.214 1.278 11.888 Tb
0.000 0.000 10.262 Tl
0.000 2.557 3.421 Tl
2.214 1.278 17.103 Tl
0.000 0.000 0.000 Br
0.000 2.557 13.683 Br
2.214 1.278 6.841 Br
```

Values from the calculation:
* space group: R-3m (166)
* density: 8.61 Mg/m³
* magnetization: 0.00 μB/atom
* energy above the lowest structure with this stoichiometry: 47 meV/atom
* final energy: -3.95 eV per atom

***

10.
This record from the Alexandria database describes crystalline NbAs2Ru2 at its relaxed geometry. The functional is PBE-GGA.

POSCAR file:
```
NbAs2Ru2
1.0
7.257 0.000 0.000
0.000 7.257 0.000
0.000 0.000 2.913
Nb As Ru
2 4 4
Cartesian
0.000 0.000 0.000 Nb
3.628 3.628 0.000 Nb
1.117 2.511 0.000 As
2.511 6.139 0.000 As
4.746 1.117 0.000 As
6.139 4.746 0.000 As
1.065 4.693 1.457 Ru
2.563 1.065 1.457 Ru
4.693 6.192 1.457 Ru
6.192 2.563 1.457 Ru
```

Values from the calculation:
* space group: P4/mbm (127)
* energy of formation from the pure elements: -102 meV per atom
* density: 9.63 Mg/m³
* magnetization: 0.00 μB/atom
* final energy: -7.69 eV per atom

***

11.
This record from the Alexandria database describes crystalline ErThMgSc at its relaxed geometry. The functional is PBE-GGA.

POSCAR file:
```
ErThMgSc
1.0
7.631 0.000 0.000
0.000 7.631 0.000
0.000 0.000 7.631
Er Th Mg Sc
4 4 4 4
Cartesian
0.000 0.000 0.000 Er
0.000 3.816 3.816 Er
3.816 0.000 3.816 Er
3.816 3.816 0.000 Er
0.000 0.000 3.816 Th
0.000 3.816 0.000 Th
3.816 0.000 0.000 Th
3.816 3.816 3.816 Th
1.908 1.908 5.723 Mg
1.908 5.723 1.908 Mg
5.723 1.908 1.908 Mg
5.723 5.723 5.723 Mg
1.908 1.908 1.908 Sc
1.908 5.723 5.723 Sc
5.723 1.908 5.723 Sc
5.723 5.723 1.908 Sc
```

Values from the calculation:
* space group: F-43m (216)
* energy of formation from the pure elements: 75 meV per atom
* density: 7.00 Mg/m³
* magnetization: 0.00 μB/atom
* energy above the lowest structure with this stoichiometry: 0 meV/atom
* final energy: -4.90 eV per atom

***

Question: Which value of magnetization does entry 10 give?
Answer: 0.00 μB/atom